(1)
Below is a relaxed Li3NiI crystal, with properties calculated at the PBE-GGA level.

CIF file:
```
data_Li3NiI
_cell_length_a 4.722
_cell_length_b 4.722
_cell_length_c 4.722
_cell_angle_alpha 90.00
_cell_angle_beta 90.00
_cell_angle_gamma 90.00
_space_group_name_H-M_alt 'P 1'
_space_group_IT_number 1
loop_
_space_group_symop_operation_xyz
'x,y,z'
loop_
_atom_site_label
_atom_site_type_symbol
_atom_site_fract_x
_atom_site_fract_y
_atom_site_fract_z
_atom_site_occupancy
I1 I 0.500 0.500 0.500 1
Li1 Li 0.500 0.000 0.000 1
Li2 Li 0.000 0.000 0.500 1
Ni1 Ni 0.000 0.000 0.000 1
Li3 Li 0.000 0.500 0.000 1
```

Its uncorrected energy is -2.68 eV per atom. As for the raw formation energy: -0.061 eV/atom. The value obtained for the polymorph energy (0 for the lowest one) is 0 meV per atom. The space group is No. 221.

---

(2)
Below is a relaxed LiNiI3 crystal, with properties calculated at the PBE-GGA level.

CIF file:
```
data_LiNiI3
_cell_length_a 5.398
_cell_length_b 5.398
_cell_length_c 5.398
_cell_angle_alpha 90.00
_cell_angle_beta 90.00
_cell_angle_gamma 90.00
_space_group_name_H-M_alt 'P 1'
_space_group_IT_number 1
loop_
_space_group_symop_operation_xyz
'x,y,z'
loop_
_atom_site_label
_atom_site_type_symbol
_atom_site_fract_x
_atom_site_fract_y
_atom_site_fract_z
_atom_site_occupancy
Ni1 Ni 0.000 0.000 0.000 1
I1 I 0.500 0.000 0.000 1
I2 I 0.000 0.000 0.500 1
Li1 Li 0.500 0.500 0.500 1
I3 I 0.000 0.500 0.000 1
```

Its uncorrected energy is -2.71 eV per atom. As for the raw formation energy: -0.241 eV/atom. The value obtained for the polymorph energy (0 for the lowest one) is 0 meV per atom. The space group is No. 221.

---

Look up the uncorrected energy of the second one.
-2.71 eV per atom